{"formula": "Li6Ni3SnP6O24", "functional": "PBE+U", "state": "optimized geometry", "final_energy_ev_per_atom": -6.344, "magnetic_moment_mub_per_fu": 3.88, "vol_a3_per_atom": 11.89, "cell": [[-3.736, -7.097, 4.191], [3.487, -4.020, 7.382], [-3.730, 0.411, 8.196]], "species": ["Li", "O", "O", "O", "O", "O", "P", "O", "Ni", "O", "P", "O", "O", "O", "Li", "P", "Ni", "P", "O", "Li", "P", "O", "O", "Li", "P", "O", "O", "O", "O", "O", "Sn", "O", "O", "Li", "O", "O", "O", "O", "Li", "Ni"], "frac_coords": [[0.344, 0.083, 0.719], [0.120, 0.879, 0.756], [0.993, 0.399, 0.194], [0.488, 0.545, 0.179], [0.153, 0.534, 0.229], [0.506, 0.462, 0.809], [0.256, 0.956, 0.550], [0.803, 0.847, 0.465], [0.352, 0.347, 0.349], [0.184, 0.992, 0.408], [0.458, 0.755, 0.043], [0.044, 0.602, 0.802], [0.875, 0.144, 0.248], [0.244, 0.140, 0.536], [0.562, 0.543, 0.528], [0.046, 0.462, 0.755], [0.851, 0.856, 0.853], [0.959, 0.546, 0.257], [0.464, 0.802, 0.846], [0.720, 0.356, 0.078], [0.754, 0.042, 0.458], [0.459, 0.804, 0.519], [0.547, 0.245, 0.136], [0.084, 0.716, 0.346], [0.546, 0.256, 0.959], [0.843, 0.484, 0.805], [0.606, 0.804, 0.021], [0.247, 0.878, 0.143], [0.389, 0.198, 0.008], [0.176, 0.487, 0.543], [0.145, 0.145, 0.155], [0.142, 0.249, 0.880], [0.803, 0.022, 0.607], [0.221, 0.600, 0.878], [0.541, 0.177, 0.491], [0.896, 0.746, 0.107], [0.746, 0.116, 0.882], [0.815, 0.522, 0.460], [0.958, 0.976, 0.967], [0.658, 0.660, 0.655]]}